Entry 1:
DFT (PBE-GGA) results for CsRbRuF6 after structural relaxation.

POSCAR file:
```
CsRbRuF6
1.0
3.296 -5.723 0.000
3.296 5.723 0.000
-0.006 0.000 5.557
Cs Rb Ru F
1 1 1 6
Cartesian
0.000 0.000 0.000
3.292 -1.905 2.779
3.292 1.906 2.779
1.675 1.900 1.670
2.495 3.308 3.894
4.090 3.308 1.664
2.485 0.510 3.896
4.100 0.510 1.661
4.910 1.900 3.887
```

## Properties
N(E_F) in states/eV/f.u.: 8.5
Magnetization in μB per cell: 2.0
Raw formation energy in kJ/mol of atoms: -222.50
Symmetry: C2, No. 5



Entry 2:
DFT (PBE-GGA) results for RbAu2I7 after structural relaxation.

POSCAR file:
```
RbAu2I7
1.0
4.446 -10.469 0.000
4.446 10.469 0.000
0.000 0.000 4.810
Rb Au I
1 2 7
Cartesian
0.000 0.000 0.000
4.446 2.832 2.405
4.446 -2.832 2.405
1.473 2.583 2.405
1.473 -2.583 2.405
4.446 4.113 0.000
4.446 0.000 2.405
4.446 -4.113 0.000
7.418 2.583 2.405
7.418 -2.583 2.405
```

## Properties
N(E_F) in states/eV/f.u.: 4.0
Magnetization in μB per cell: 0.0
Raw formation energy in kJ/mol of atoms: -24.68
Symmetry: Cmmm, No. 65



Entry 3:
DFT (PBE-GGA) results for Mg2ZrAl after structural relaxation.

POSCAR file:
```
Mg2ZrAl
1.0
11.267 0.000 0.000
0.000 2.907 0.000
-2.665 0.000 5.089
Mg Zr Al
4 2 2
Cartesian
0.000 0.000 0.000
0.264 0.000 4.703
5.633 1.454 0.000
5.897 1.454 4.703
1.732 1.454 2.241
7.365 0.000 2.241
4.351 0.000 2.430
9.984 1.454 2.430
```

## Properties
N(E_F) in states/eV/f.u.: 2.5
Magnetization in μB per cell: 0.0
Formation energy in eV per formula unit: -0.21
Symmetry: Cm, No. 8



Entry 4:
DFT (PBE-GGA) results for Ce4SnSb2Se after structural relaxation.

POSCAR file:
```
Ce4SnSb2Se
1.0
7.661 0.000 0.000
0.000 4.443 0.000
-2.573 0.000 7.240
Ce Sn Sb Se
4 1 2 1
Cartesian
1.230 0.000 1.746
-0.059 2.222 5.464
5.147 2.222 1.777
3.858 0.000 5.495
3.830 0.000 0.000
-1.286 0.000 3.620
2.544 2.222 3.620
0.000 2.222 0.000
```

## Properties
N(E_F) in states/eV/f.u.: 24.2
Magnetization in μB per cell: 3.3
Raw formation energy in kJ/mol of atoms: -105.27
Symmetry: P2/m, No. 10



Entry 5:
DFT (PBE-GGA) results for Zn3GeSb4 after structural relaxation.

POSCAR file:
```
Zn3GeSb4
1.0
6.108 0.000 0.000
0.000 6.108 0.000
0.000 0.000 12.429
Zn Ge Sb
6 2 8
Cartesian
0.000 0.000 0.000
0.000 3.054 3.107
0.000 3.054 9.322
3.054 0.000 3.107
3.054 0.000 9.322
3.054 3.054 6.214
0.000 0.000 6.214
3.054 3.054 0.000
1.515 1.515 1.561
1.515 4.593 10.868
1.539 1.539 7.776
1.539 4.569 4.653
4.569 1.539 4.653
4.569 4.569 7.776
4.593 1.515 10.868
4.593 4.593 1.561
```

## Properties
N(E_F) in states/eV/f.u.: 4.3
Magnetization in μB per cell: 0.0
Raw formation energy in kJ/mol of atoms: 3.40
Symmetry: I-42m, No. 121



Entry 6:
DFT (PBE-GGA) results for BaPdAu2Br after structural relaxation.

POSCAR file:
```
BaPdAu2Br
1.0
5.473 0.000 0.000
0.000 5.473 0.000
0.000 0.000 4.870
Ba Pd Au Br
1 1 2 1
Cartesian
0.000 0.000 0.000
2.736 2.736 0.000
0.000 2.736 2.435
2.736 0.000 2.435
2.736 2.736 2.435
```

## Properties
N(E_F) in states/eV/f.u.: 2.7
Magnetization in μB per cell: 0.0
Raw formation energy in kJ/mol of atoms: 3.87
Symmetry: P4/mmm, No. 123



Entry 7:
DFT (PBE-GGA) results for BeRhF after structural relaxation.

POSCAR file:
```
BeRhF
1.0
4.627 0.000 0.000
0.000 2.540 0.000
0.000 0.000 14.138
Be Rh F
4 4 4
Cartesian
1.114 0.635 1.922
1.200 1.905 8.991
3.428 0.635 5.147
3.513 1.905 12.216
1.154 1.905 4.005
1.160 0.635 11.074
3.468 1.905 3.064
3.473 0.635 10.133
1.140 1.905 0.966
1.173 0.635 8.035
3.454 1.905 6.103
3.487 0.635 13.173
```

## Properties
N(E_F) in states/eV/f.u.: 1.9
Magnetization in μB per cell: 0.0
Energy relative to the lowest polymorph listed for this composition in meV/atom: 211
Raw formation energy in kJ/mol of atoms: -119.10
Symmetry: Pnma, No. 62



Entry 8:
DFT (PBE-GGA) results for Ho2MgZn after structural relaxation.

POSCAR file:
```
Ho2MgZn
1.0
7.312 0.000 0.000
0.000 7.312 0.000
0.000 0.000 7.312
Ho Mg Zn
8 4 4
Cartesian
1.828 1.828 1.828
1.828 1.828 5.484
1.828 5.484 1.828
1.828 5.484 5.484
5.484 1.828 1.828
5.484 1.828 5.484
5.484 5.484 1.828
5.484 5.484 5.484
0.000 0.000 0.000
0.000 3.656 3.656
3.656 0.000 3.656
3.656 3.656 0.000
0.000 0.000 3.656
0.000 3.656 0.000
3.656 0.000 0.000
3.656 3.656 3.656
```

## Properties
N(E_F) in states/eV/f.u.: 4.2
Magnetization in μB per cell: 0.0
Energy relative to the lowest polymorph listed for this composition in meV/atom: 32
Formation energy in eV per formula unit: -0.70
Symmetry: Fm-3m, No. 225



What is the N(E_F) in the sixth record? 2.7 states/eV/f.u.